A geometry-optimized AgB2Pt structure, computed with PBE.

```
AgB2Pt
1.0
-3.714 -0.505 1.470
-2.269 3.206 0.883
-3.202 0.887 -2.273
B Ag Pt
2 1 1
Cartesian
-2.296 0.897 0.020
-6.888 2.692 0.059
0.000 0.000 0.000
-4.592 1.794 0.040
```

Properties
- density of states at the Fermi level (states/eV/atom) = 0.344
- electronic total energy (eV per cell) = -18.5
- symmetry = Fm-3m, No. 225
- formation energy (eV per atom) = 0.9438
- magnetization (μB per formula unit) = 0.00



A geometry-optimized MoW2Se structure, computed with PBE.

```
MoW2Se
1.0
2.817 -0.007 0.000
-1.029 2.622 0.000
0.000 0.000 9.019
Mo Se W
1 1 2
Cartesian
0.894 1.308 2.255
0.894 1.308 6.764
0.000 0.000 0.084
0.000 0.000 4.425
```

Properties
- density of states at the Fermi level (states/eV/atom) = 1.190
- electronic total energy (eV per cell) = -38.2
- symmetry = Cmmm, No. 65
- energy relative to the elements, uncorrected (eV per atom) = 0.51
- magnetization (μB per formula unit) = 0.00



A geometry-optimized La2MgZr structure, computed with PBE.

```
La2MgZr
1.0
-3.273 2.736 3.868
2.462 -3.034 4.230
2.526 2.533 0.346
La Mg Zr
2 1 1
Cartesian
0.000 0.000 0.000
-0.405 -0.149 4.049
-0.373 2.635 2.107
2.494 -0.251 2.288
```

Properties
- density of states at the Fermi level (states/eV/atom) = 1.363
- electronic total energy (eV per cell) = -19.6
- symmetry = P4/mmm, No. 123
- formation energy (eV per atom) = 0.0954
- magnetization (μB per formula unit) = 0.00



A geometry-optimized K2NaAgAu structure, computed with PBE.

```
K2NaAgAu
1.0
-5.548 2.022 -2.230
-3.002 -3.375 4.409
0.186 4.175 3.322
Na K Au Ag
1 2 1 1
Cartesian
-4.182 1.411 2.750
-1.501 -1.687 2.205
-2.774 1.011 -1.115
0.000 0.000 0.000
0.093 2.087 1.661
```

Properties
- density of states at the Fermi level (states/eV/atom) = 0.403
- electronic total energy (eV per cell) = -9.6
- symmetry = P4/mmm, No. 123
- formation energy (eV per atom) = 0.0005
- magnetization (μB per formula unit) = 0.00



A geometry-optimized BaLaCd10 structure, computed with PBE.

```
BaLaCd10
1.0
4.889 0.000 0.000
0.000 6.067 0.000
0.000 0.000 10.518
Ba La Cd
1 1 10
Cartesian
0.000 3.033 5.259
0.000 0.000 0.000
0.000 0.000 3.450
0.000 3.033 8.818
0.000 3.033 1.699
0.000 0.000 7.068
2.444 0.000 5.259
2.444 3.033 0.000
2.444 1.485 2.532
2.444 4.582 7.985
2.444 4.582 2.532
2.444 1.485 7.985
```

Properties
- density of states at the Fermi level (states/eV/atom) = 0.503
- electronic total energy (eV per cell) = -18.7
- symmetry = Pmmm, No. 47
- formation energy (eV per atom) = -0.2258
- magnetization (μB per formula unit) = 0.00



A geometry-optimized Rb4Nd3InO8 structure, computed with PBE.

```
Rb4Nd3InO8
1.0
7.211 0.000 0.000
0.000 7.792 0.395
-3.606 -3.596 5.107
Rb Nd In O
4 3 1 8
Cartesian
3.606 0.000 0.000
1.803 -1.798 2.553
0.000 0.000 0.000
-1.803 -1.798 2.553
3.606 3.896 0.197
1.803 2.098 2.751
-1.803 2.098 2.751
0.000 3.896 0.197
-1.859 1.860 5.169
0.000 3.713 2.539
0.000 0.526 2.917
1.859 1.860 5.169
1.747 2.336 0.333
3.606 3.670 2.585
3.606 0.483 2.963
5.464 2.336 0.333
```

Properties
- density of states at the Fermi level (states/eV/atom) = 0.000
- electronic total energy (eV per cell) = -96.6
- symmetry = R-3m, No. 166
- energy relative to the elements, uncorrected (eV per atom) = -2.25
- magnetization (μB per formula unit) = 0.00



A geometry-optimized Dy2BeCuPd6 structure, computed with PBE.

```
Dy2BeCuPd6
1.0
-5.817 -1.037 -0.682
0.525 -3.914 -4.969
-3.250 -7.194 -1.142
Dy Be Cu Pd
2 1 1 6
Cartesian
-5.786 -5.426 -2.479
-2.756 -6.720 -4.314
-2.646 -2.476 -2.826
0.000 0.000 0.000
-2.787 -4.760 -1.974
-6.658 -10.976 -5.600
-3.836 -9.377 -4.735
-4.706 -2.769 -2.058
-1.884 -1.170 -1.193
-5.755 -7.386 -4.819
```

Properties
- density of states at the Fermi level (states/eV/atom) = 0.385
- electronic total energy (eV per cell) = -53.9
- symmetry = P-1, No. 2
- formation energy (eV per atom) = -0.5765
- magnetization (μB per formula unit) = 0.00



A geometry-optimized HfSc3Pb structure, computed with PBE.

```
HfSc3Pb
1.0
5.035 0.000 0.000
0.000 8.088 -2.060
0.000 -0.228 5.800
Hf Sc Pb
2 6 2
Cartesian
1.259 7.114 1.137
3.776 0.746 2.603
1.259 0.744 0.671
3.776 7.116 3.069
3.776 3.925 2.800
1.259 3.935 0.940
1.259 2.066 3.749
3.776 5.794 -0.009
3.776 2.487 -0.179
1.259 5.373 3.920
```

Properties
- density of states at the Fermi level (states/eV/atom) = 1.195
- electronic total energy (eV per cell) = -67.1
- symmetry = P2_1/m, No. 11
- formation energy (eV per atom) = -0.1823
- magnetization (μB per formula unit) = 0.00



A geometry-optimized Ac7Cd3N2 structure, computed with PBE.

```
Ac7Cd3N2
1.0
5.336 0.000 -0.832
0.000 5.330 0.000
-0.655 0.000 13.327
Ac Cd N
7 3 2
Cartesian
3.071 0.000 2.170
0.813 0.000 5.217
0.000 0.000 0.000
1.610 0.000 10.325
4.272 2.665 9.870
0.409 2.665 2.625
3.868 0.000 7.278
2.668 2.665 -0.416
1.209 2.665 7.756
3.472 2.665 4.739
0.420 0.000 2.694
4.261 0.000 9.801
```

Properties
- density of states at the Fermi level (states/eV/atom) = 0.710
- electronic total energy (eV per cell) = -54.0
- symmetry = Cmmm, No. 65
- energy relative to the elements, uncorrected (eV per atom) = -0.49
- magnetization (μB per formula unit) = 0.00



A geometry-optimized Tb2TmScSe6 structure, computed with PBE.

```
Tb2TmScSe6
1.0
7.098 0.000 0.000
3.549 6.147 0.000
3.549 2.049 6.379
Tb Tm Sc Se
2 1 1 6
Cartesian
7.098 4.098 2.863
3.549 2.049 6.083
10.647 6.147 3.442
3.549 2.049 0.214
5.866 1.833 1.617
5.752 6.297 1.617
9.675 4.164 1.617
8.242 5.903 4.846
8.089 2.205 4.846
4.963 4.187 4.846
```

Properties
- density of states at the Fermi level (states/eV/atom) = 0.000
- electronic total energy (eV per cell) = -58.9
- symmetry = R3, No. 146
- energy relative to the elements, uncorrected (eV per atom) = -1.80
- magnetization (μB per formula unit) = 0.00



A geometry-optimized SrPHN3 structure, computed with PBE.

```
SrPHN3
1.0
5.191 -0.869 0.000
0.097 4.700 0.000
0.049 2.350 6.004
Sr P H N
2 2 2 6
Cartesian
1.347 2.133 3.426
3.991 4.048 2.578
3.942 1.698 5.354
1.395 4.482 0.651
1.395 4.482 5.777
3.942 1.698 0.228
2.033 5.611 5.739
0.757 3.354 5.739
3.942 1.698 3.764
3.304 0.569 0.265
4.580 2.827 0.265
1.395 4.482 2.240
```

Properties
- density of states at the Fermi level (states/eV/atom) = 0.382
- electronic total energy (eV per cell) = -73.7
- symmetry = C2/c, No. 15
- magnetization (μB per formula unit) = 0.00



A geometry-optimized DyTmPuIn structure, computed with PBE.

```
DyTmPuIn
1.0
-0.513 -2.853 -4.553
4.396 -1.727 -2.612
1.222 -5.257 -0.043
Tm In Dy Pu
1 1 1 1
Cartesian
3.829 -7.378 -5.406
1.276 -2.459 -1.802
0.000 0.000 0.000
2.552 -4.919 -3.604
```

Properties
- density of states at the Fermi level (states/eV/atom) = 2.098
- electronic total energy (eV per cell) = -26.3
- symmetry = F-43m, No. 216
- formation energy (eV per atom) = -0.0364
- magnetization (μB per formula unit) = 6.59